Entry from Alexandria via LeMat-Bulk: an optimized crystal structure of KBiCl14 (GGA-PBE).

## Properties
* uncorrected formation energy: -469 meV/atom
* crystal system: triclinic
* size of the total moment: 0.131 μB per cell
* calculated density: 2.1 g cm⁻³
* E: -2.40 eV/atom

extended XYZ file:
```
16
Lattice="8.628 0.000 0.000 -3.787 8.201 0.000 -2.486 -2.178 8.419" Properties=species:S:1:pos:R:3 pbc="T T T"
K 0.000 0.000 0.000
Bi -1.835 3.093 7.682
Cl -1.693 5.689 0.262
Cl -2.005 0.500 6.814
Cl -0.956 3.452 1.904
Cl -2.440 3.980 5.452
Cl -0.264 1.822 2.901
Cl -1.282 6.738 4.458
Cl 2.470 2.567 0.224
Cl 3.052 0.198 3.447
Cl 1.194 2.545 6.648
Cl -0.773 5.490 8.401
Cl 3.926 2.587 1.701
Cl 1.997 4.023 5.462
Cl 2.646 6.605 2.226
Cl 3.505 5.825 3.963
```

---

Entry from Alexandria via LeMat-Bulk: an optimized crystal structure of K3BiCl (GGA-PBE).

## Properties
* uncorrected formation energy: -857 meV/atom
* crystal system: cubic
* size of the total moment: 1.000 μB per cell
* excess energy over the best structure of this formula in the dataset: 0.000 eV/f.u.
* calculated density: 2.8 g cm⁻³
* E: -2.66 eV/atom

extended XYZ file:
```
5
Lattice="5.961 0.000 0.000 0.000 5.961 0.000 0.000 0.000 5.961" Properties=species:S:1:pos:R:3 pbc="T T T"
K 0.000 0.000 2.980
K 0.000 2.980 0.000
K 2.980 0.000 0.000
Bi 2.980 2.980 2.980
Cl 0.000 0.000 0.000
```

---

Entry from Alexandria via LeMat-Bulk: an optimized crystal structure of K2Bi2Cl7 (GGA-PBE).

## Properties
* uncorrected formation energy: -1213 meV/atom
* crystal system: monoclinic
* size of the total moment: 0.017 μB per cell
* excess energy over the best structure of this formula in the dataset: 0.000 eV/f.u.
* calculated density: 3.3 g cm⁻³
* E: -3.29 eV/atom

extended XYZ file:
```
11
Lattice="5.851 -4.573 0.000 5.851 4.573 0.000 -0.504 0.000 7.019" Properties=species:S:1:pos:R:3 pbc="T T T"
K 5.851 2.314 0.000
K 5.851 -2.314 0.000
Bi 2.578 0.000 3.961
Bi 8.621 0.000 3.057
Cl -0.252 0.000 3.509
Cl 3.083 2.099 1.846
Cl 4.926 0.000 5.089
Cl 8.116 2.099 5.172
Cl 3.083 -2.099 1.846
Cl 6.274 0.000 1.930
Cl 8.116 -2.099 5.172
```

---

Entry from Alexandria via LeMat-Bulk: an optimized crystal structure of KBiCl (GGA-PBE).

## Properties
* uncorrected formation energy: -1054 meV/atom
* crystal system: triclinic
* size of the total moment: 0.000 μB per cell
* calculated density: 4.3 g cm⁻³
* E: -3.33 eV/atom

extended XYZ file:
```
6
Lattice="4.572 0.000 0.000 -2.259 5.396 0.000 -0.005 -3.003 8.924" Properties=species:S:1:pos:R:3 pbc="T T T"
K 0.000 0.000 0.000
K 0.000 -0.215 6.102
Bi 0.018 2.749 3.226
Bi 2.298 0.787 3.207
Cl 0.022 3.177 0.290
Cl 0.020 3.008 6.469
```

---

Entry from Alexandria via LeMat-Bulk: an optimized crystal structure of K3BiCl6 (GGA-PBE).

## Properties
* uncorrected formation energy: -1531 meV/atom
* crystal system: cubic
* size of the total moment: 0.000 μB per cell
* calculated density: 2.4 g cm⁻³
* E: -3.36 eV/atom

extended XYZ file:
```
10
Lattice="0.000 5.684 5.684 5.684 0.000 5.684 5.684 5.684 0.000" Properties=species:S:1:pos:R:3 pbc="T T T"
K 0.000 0.000 0.000
K 2.842 2.842 2.842
K 8.526 8.526 8.526
Bi 5.684 5.684 5.684
Cl 5.684 5.684 2.975
Cl 5.684 2.975 5.684
Cl 8.393 5.684 5.684
Cl 2.975 5.684 5.684
Cl 5.684 8.393 5.684
Cl 5.684 5.684 8.393
```

---

Entry from Alexandria via LeMat-Bulk: an optimized crystal structure of KBiCl4 (GGA-PBE).

## Properties
* uncorrected formation energy: -1321 meV/atom
* crystal system: monoclinic
* size of the total moment: 0.000 μB per cell
* excess energy over the best structure of this formula in the dataset: 0.165 eV/f.u.
* calculated density: 3.2 g cm⁻³
* E: -3.38 eV/atom

extended XYZ file:
```
12
Lattice="7.828 0.000 0.000 0.000 6.980 0.000 -1.332 0.000 7.308" Properties=species:S:1:pos:R:3 pbc="T T T"
K 0.000 0.000 0.000
K -0.666 3.490 3.654
Bi 3.248 0.000 3.654
Bi 3.914 3.490 0.000
Cl 0.891 0.953 2.837
Cl 0.225 2.537 6.492
Cl 2.586 4.760 2.095
Cl 1.921 5.710 5.750
Cl 4.576 1.270 1.559
Cl 3.910 2.220 5.213
Cl 6.272 4.443 0.817
Cl 5.606 6.027 4.471
```

---

Entry from Alexandria via LeMat-Bulk: an optimized crystal structure of KBiCl3 (GGA-PBE).

## Properties
* uncorrected formation energy: -1121 meV/atom
* crystal system: cubic
* size of the total moment: 0.000 μB per cell
* excess energy over the best structure of this formula in the dataset: 0.210 eV/f.u.
* calculated density: 3.3 g cm⁻³
* E: -3.22 eV/atom

extended XYZ file:
```
5
Lattice="5.657 0.000 0.000 0.000 5.657 0.000 0.000 0.000 5.657" Properties=species:S:1:pos:R:3 pbc="T T T"
K 0.000 0.000 0.000
Bi 2.829 2.829 2.829
Cl 0.000 2.829 2.829
Cl 2.829 0.000 2.829
Cl 2.829 2.829 0.000
```

---

Entry from Alexandria via LeMat-Bulk: an optimized crystal structure of K2Bi2Cl (GGA-PBE).

## Properties
* uncorrected formation energy: -586 meV/atom
* crystal system: tetragonal
* size of the total moment: 0.000 μB per cell
* excess energy over the best structure of this formula in the dataset: 1.108 eV/f.u.
* calculated density: 4.1 g cm⁻³
* E: -2.95 eV/atom

extended XYZ file:
```
10
Lattice="8.679 0.000 0.000 0.000 8.679 0.000 0.000 0.000 5.773" Properties=species:S:1:pos:R:3 pbc="T T T"
K 1.649 2.690 0.000
K 2.690 7.029 0.000
K 5.988 1.649 0.000
K 7.029 5.988 0.000
Bi 0.978 5.317 2.886
Bi 3.362 0.978 2.886
Bi 5.317 7.701 2.886
Bi 7.701 3.362 2.886
Cl 0.000 0.000 0.000
Cl 4.339 4.339 0.000
```